Entry from OQMD: an optimized crystal structure of Hf4NiAuN2 (GGA-PBE).

Computed properties:
As for the calculated volume: 121.3 Å³ per cell. The crystal system is hexagonal. For the total energy, the calculation gives -9.1868 eV/atom.

The structure in CIF format:
```
data_Hf4NiAuN2
_chemical_formula_sum 'Hf4 Ni1 Au1 N2'
_symmetry_space_group_name_H-M 'P -6 m 2'
_symmetry_Int_Tables_number 187
_symmetry_space_group_name_Hall 'P -6 2'
_cell_length_a 3.2240
_cell_length_b 3.2240
_cell_length_c 13.4706
_cell_angle_alpha 90.00
_cell_angle_beta 90.00
_cell_angle_gamma 120.00
loop_
_atom_site_label
_atom_site_type_symbol
_atom_site_fract_x
_atom_site_fract_y
_atom_site_fract_z
Hf1 Hf 0.0000 0.0000 0.1429
Hf2 Hf 0.6667 0.3333 0.3333
Ni1 Ni 0.6667 0.3333 0.0000
Au1 Au 0.0000 0.0000 0.5000
N1 N 0.3333 0.6667 0.2409
```

Entry from OQMD: an optimized crystal structure of SiNi2Te (GGA-PBE).

Computed properties:
As for the calculated volume: 123.0 Å³ per cell. The crystal system is monoclinic. For the total energy, the calculation gives -5.1926 eV/atom. The calculation puts the energy above the most stable polymorph in this dataset at 0.00 eV/f.u.

The structure in CIF format:
```
data_SiNi2Te
_chemical_formula_sum 'Si2 Ni4 Te2'
_symmetry_space_group_name_H-M 'P 1 21/m 1'
_symmetry_Int_Tables_number 11
_symmetry_space_group_name_Hall '-P 2yb'
_cell_length_a 5.130
_cell_length_b 3.724
_cell_length_c 6.447
_cell_angle_alpha 90.00
_cell_angle_beta 93.07
_cell_angle_gamma 90.00
loop_
_atom_site_label
_atom_site_type_symbol
_atom_site_fract_x
_atom_site_fract_y
_atom_site_fract_z
Si1 Si 0.206 0.250 0.084
Ni1 Ni 0.018 0.750 0.239
Ni2 Ni 0.496 0.750 0.171
Te1 Te 0.259 0.750 0.608
```

Entry from OQMD: an optimized crystal structure of PrGdZn4 (GGA-PBE).

Computed properties:
As for the calculated volume: 250.0 Å³ per cell. The crystal system is orthorhombic. For the total energy, the calculation gives -2.7818 eV/atom. Its formation energy from the elements is -0.367 eV/atom.

The structure in CIF format:
```
data_PrGdZn4
_chemical_formula_sum 'Pr2 Gd2 Zn8'
_symmetry_space_group_name_H-M 'I m m 2'
_symmetry_Int_Tables_number 44
_symmetry_space_group_name_Hall 'I 2 -2'
_cell_length_a 4.537
_cell_length_b 7.260
_cell_length_c 7.591
_cell_angle_alpha 90.00
_cell_angle_beta 90.00
_cell_angle_gamma 90.00
loop_
_atom_site_label
_atom_site_type_symbol
_atom_site_fract_x
_atom_site_fract_y
_atom_site_fract_z
Pr1 Pr 0.000 0.000 0.000
Gd1 Gd 0.000 0.500 0.059
Zn1 Zn 0.000 0.203 0.369
Zn2 Zn 0.000 0.295 0.701
```

Entry from OQMD: an optimized crystal structure of PrNiB (GGA-PBE).

Computed properties:
As for the calculated volume: 187.0 Å³ per cell. The crystal system is orthorhombic. For the total energy, the calculation gives -5.7409 eV/atom. The calculation puts the energy above the most stable polymorph in this dataset at 0.66 eV/f.u.

The structure in CIF format:
```
data_PrNiB
_chemical_formula_sum 'Pr4 Ni4 B4'
_symmetry_space_group_name_H-M 'P n m a'
_symmetry_Int_Tables_number 62
_symmetry_space_group_name_Hall '-P 2ac 2n'
_cell_length_a 6.663
_cell_length_b 4.479
_cell_length_c 6.265
_cell_angle_alpha 90.00
_cell_angle_beta 90.00
_cell_angle_gamma 90.00
loop_
_atom_site_label
_atom_site_type_symbol
_atom_site_fract_x
_atom_site_fract_y
_atom_site_fract_z
Pr1 Pr 0.018 0.250 0.170
Ni1 Ni 0.131 0.750 0.394
B1 B 0.179 0.250 0.627
```

Entry from OQMD: an optimized crystal structure of Ta2GaC (GGA-PBE).

Computed properties:
As for the calculated volume: 692.1 Å³ per cell. The crystal system is monoclinic. For the total energy, the calculation gives -9.5082 eV/atom.

The structure in CIF format:
```
data_Ta2GaC
_chemical_formula_sum 'Ta24 Ga12 C12'
_symmetry_space_group_name_H-M 'C 1 2/c 1'
_symmetry_Int_Tables_number 15
_symmetry_space_group_name_Hall '-C 2yc'
_cell_length_a 9.374
_cell_length_b 5.414
_cell_length_c 13.993
_cell_angle_alpha 90.00
_cell_angle_beta 102.93
_cell_angle_gamma 90.00
loop_
_atom_site_label
_atom_site_type_symbol
_atom_site_fract_x
_atom_site_fract_y
_atom_site_fract_z
Ta1 Ta 0.053 0.083 0.410
Ta2 Ta 0.113 0.417 0.590
Ta3 Ta 0.220 0.417 0.910
Ga1 Ga 0.000 0.415 0.250
Ga2 Ga 0.165 0.084 0.750
C1 C 0.083 0.250 0.000
C2 C 0.250 0.250 0.500
```

Entry from OQMD: an optimized crystal structure of BaPaPd (GGA-PBE).

Computed properties:
As for the calculated volume: 380.4 Å³ per cell. The crystal system is cubic. For the total energy, the calculation gives -5.0888 eV/atom. The calculation puts the energy above the most stable polymorph in this dataset at 0.00 eV/f.u.

The structure in CIF format:
```
data_BaPaPd
_chemical_formula_sum 'Ba4 Pa4 Pd4'
_symmetry_space_group_name_H-M 'F -4 3 m'
_symmetry_Int_Tables_number 216
_symmetry_space_group_name_Hall 'F -4 2 3'
_cell_length_a 7.245
_cell_length_b 7.245
_cell_length_c 7.245
_cell_angle_alpha 90.00
_cell_angle_beta 90.00
_cell_angle_gamma 90.00
loop_
_atom_site_label
_atom_site_type_symbol
_atom_site_fract_x
_atom_site_fract_y
_atom_site_fract_z
Ba1 Ba 0.000 0.000 0.000
Pa1 Pa 0.000 0.000 0.500
Pd1 Pd 0.250 0.250 0.250
```

Entry from OQMD: an optimized crystal structure of Y3Mg3Ir2Pt (GGA-PBE).

Computed properties:
As for the calculated volume: 188.5 Å³ per cell. The crystal system is hexagonal. For the total energy, the calculation gives -6.0875 eV/atom.

The structure in CIF format:
```
data_Y3Mg3Ir2Pt
_chemical_formula_sum 'Y3 Mg3 Ir2 Pt1'
_symmetry_space_group_name_H-M 'P -6 2 m'
_symmetry_Int_Tables_number 189
_symmetry_space_group_name_Hall 'P -6 -2'
_cell_length_a 7.3346
_cell_length_b 7.3346
_cell_length_c 4.0454
_cell_angle_alpha 90.00
_cell_angle_beta 90.00
_cell_angle_gamma 120.00
loop_
_atom_site_label
_atom_site_type_symbol
_atom_site_fract_x
_atom_site_fract_y
_atom_site_fract_z
Y1 Y 0.0000 0.5878 0.0000
Mg1 Mg 0.0000 0.2483 0.5000
Ir1 Ir 0.3333 0.6667 0.5000
Pt1 Pt 0.0000 0.0000 0.0000
```

Entry from OQMD: an optimized crystal structure of TaNb2Ge2 (GGA-PBE).

Computed properties:
As for the calculated volume: 178.4 Å³ per cell. The crystal system is tetragonal. For the total energy, the calculation gives -8.1570 eV/atom. The calculation puts the energy above the most stable polymorph in this dataset at 0.00 eV/f.u.

The structure in CIF format:
```
data_TaNb2Ge2
_chemical_formula_sum 'Ta2 Nb4 Ge4'
_symmetry_space_group_name_H-M 'I 4/m m m'
_symmetry_Int_Tables_number 139
_symmetry_space_group_name_Hall '-I 4 2'
_cell_length_a 3.909
_cell_length_b 3.909
_cell_length_c 11.678
_cell_angle_alpha 90.00
_cell_angle_beta 90.00
_cell_angle_gamma 90.00
loop_
_atom_site_label
_atom_site_type_symbol
_atom_site_fract_x
_atom_site_fract_y
_atom_site_fract_z
Ta1 Ta 0.000 0.000 0.000
Nb1 Nb 0.000 0.500 0.250
Ge1 Ge 0.000 0.000 0.401
```

Entry from OQMD: an optimized crystal structure of PaAl5Os (GGA-PBE).

Computed properties:
As for the calculated volume: 130.6 Å³ per cell. The crystal system is tetragonal. For the total energy, the calculation gives -6.0309 eV/atom.

The structure in CIF format:
```
data_PaAl5Os
_chemical_formula_sum 'Pa1 Al5 Os1'
_symmetry_space_group_name_H-M 'P 4/m m m'
_symmetry_Int_Tables_number 123
_symmetry_space_group_name_Hall '-P 4 2'
_cell_length_a 4.334
_cell_length_b 4.334
_cell_length_c 6.953
_cell_angle_alpha 90.00
_cell_angle_beta 90.00
_cell_angle_gamma 90.00
loop_
_atom_site_label
_atom_site_type_symbol
_atom_site_fract_x
_atom_site_fract_y
_atom_site_fract_z
Pa1 Pa 0.000 0.000 0.000
Al1 Al 0.000 0.500 0.308
Al2 Al 0.500 0.500 0.000
Os1 Os 0.000 0.000 0.500
```

Entry from OQMD: an optimized crystal structure of Tm7Ni2S2 (GGA-PBE).

Computed properties:
As for the calculated volume: 489.4 Å³ per cell. The crystal system is orthorhombic. For the total energy, the calculation gives -5.4738 eV/atom.

The structure in CIF format:
```
data_Tm7Ni2S2
_chemical_formula_sum 'Tm14 Ni4 S4'
_symmetry_space_group_name_H-M 'I m m 2'
_symmetry_Int_Tables_number 44
_symmetry_space_group_name_Hall 'I 2 -2'
_cell_length_a 3.708
_cell_length_b 14.588
_cell_length_c 9.047
_cell_angle_alpha 90.00
_cell_angle_beta 90.00
_cell_angle_gamma 90.00
loop_
_atom_site_label
_atom_site_type_symbol
_atom_site_fract_x
_atom_site_fract_y
_atom_site_fract_z
Tm1 Tm 0.000 0.000 0.000
Tm2 Tm 0.000 0.120 0.403
Tm3 Tm 0.000 0.315 0.610
Tm4 Tm 0.000 0.366 0.248
Ni1 Ni 0.000 0.240 0.912
S1 S 0.000 0.000 0.652
S2 S 0.000 0.500 0.748
```

Entry from OQMD: an optimized crystal structure of ScNbGe (GGA-PBE).

Computed properties:
As for the calculated volume: 245.5 Å³ per cell. The crystal system is cubic. For the total energy, the calculation gives -7.1940 eV/atom.

The structure in CIF format:
```
data_ScNbGe
_chemical_formula_sum 'Sc4 Nb4 Ge4'
_symmetry_space_group_name_H-M 'F -4 3 m'
_symmetry_Int_Tables_number 216
_symmetry_space_group_name_Hall 'F -4 2 3'
_cell_length_a 6.262
_cell_length_b 6.262
_cell_length_c 6.262
_cell_angle_alpha 90.00
_cell_angle_beta 90.00
_cell_angle_gamma 90.00
loop_
_atom_site_label
_atom_site_type_symbol
_atom_site_fract_x
_atom_site_fract_y
_atom_site_fract_z
Sc1 Sc 0.000 0.000 0.000
Nb1 Nb 0.000 0.000 0.500
Ge1 Ge 0.250 0.250 0.750
```

Entry from OQMD: an optimized crystal structure of LuBeCuPb (GGA-PBE).

Computed properties:
As for the calculated volume: 305.9 Å³ per cell. The crystal system is cubic. For the total energy, the calculation gives -3.6616 eV/atom. The calculation puts the energy above the most stable polymorph in this dataset at 0.50 eV/f.u.

The structure in CIF format:
```
data_LuBeCuPb
_chemical_formula_sum 'Lu4 Be4 Cu4 Pb4'
_symmetry_space_group_name_H-M 'F -4 3 m'
_symmetry_Int_Tables_number 216
_symmetry_space_group_name_Hall 'F -4 2 3'
_cell_length_a 6.738
_cell_length_b 6.738
_cell_length_c 6.738
_cell_angle_alpha 90.00
_cell_angle_beta 90.00
_cell_angle_gamma 90.00
loop_
_atom_site_label
_atom_site_type_symbol
_atom_site_fract_x
_atom_site_fract_y
_atom_site_fract_z
Lu1 Lu 0.000 0.000 0.000
Be1 Be 0.250 0.250 0.750
Cu1 Cu 0.000 0.000 0.500
Pb1 Pb 0.250 0.250 0.250
```

no.,density (Mg/m³)
1,13.7
2,7.4
3,7.4
4,7.5
5,12.8
6,8.3
7,8.1
8,9.5
9,7.1
10,9.3
11,5.7
12,9.9